An optimized crystal structure of TbDy2Y. Source: Alexandria, functional PBE-GGA.

**SG**: R-3m
**Offset from the most stable computed form**: 12.4 meV per atom
**ΔH_f (0 K)**: 0.02 eV per atom

Cell: 3.5547 3.5547 11.7701 Å, 81.31 81.31 60.00°
With the nearest neighbours (Å) after each atom.
Atoms (fractional coordinates):
Dy 0.7498 0.7498 0.7505  3 Tb 3.55, 6 Dy 3.55, 3 Y 3.56
Dy 0.2502 0.2502 0.2495  3 Tb 3.55, 6 Dy 3.55, 3 Y 3.56
Tb 0.0000 0.0000 0.0000  6 Dy 3.55, 6 Tb 3.55
Y 0.5000 0.5000 0.5000  6 Y 3.55, 6 Dy 3.56